An optimized crystal structure of AcP3Rh5, computed with PBE.

Computed properties:
The electronic total energy is -7.219 eV/atom. The formation energy from the elements is -7.9 eV/f.u. The density of states at the Fermi level comes out at 0.511 states/eV per atom.

Cell lengths 3.936, 12.186, 12.362 Å; angles 90.00, 90.00, 90.00 degrees
Space group Cmcm (No. 63)
Asymmetric unit:
Ac  0.000  0.156  0.250
P  0.000  0.114  0.750
P  0.000  0.389  0.541
Rh  0.000  0.000  0.000
Rh  0.000  0.209  0.575
Rh  0.000  0.439  0.141